First-principles (PBE-GGA) data for a relaxed SrTc2Mo crystal, as listed in the Alexandria database.

## Properties
The energy of formation is 0.623 eV/atom. Its density is 7.6 g cm⁻³. For the distance to the lowest polymorph of the same formula, the calculation gives 121 meV/atom.

```
data_SrTc2Mo
_cell_length_a 3.067
_cell_length_b 3.573
_cell_length_c 7.534
_cell_angle_alpha 90.00
_cell_angle_beta 90.45
_cell_angle_gamma 90.00
_symmetry_space_group_name_H-M 'P 1 m 1'
_symmetry_Int_Tables_number 6
_symmetry_space_group_name_Hall 'P -2y'
loop_
_atom_site_label
_atom_site_fract_x
_atom_site_fract_y
_atom_site_fract_z
Sr1 0.000 0.000 0.000
Tc1 0.042 0.000 0.489
Tc2 0.505 0.500 0.328
Mo1 0.495 0.500 0.658
```